(1)
This record from the Alexandria database describes a geometry-optimized AlCo2HRu structure. The functional is PBE.

The structure in CIF format:
```
data_AlCo2HRu
_symmetry_space_group_name_H-M 'P 1'
_symmetry_Int_Tables_number 1
_symmetry_space_group_name_Hall 'P 1'
_cell_length_a 3.6244
_cell_length_b 3.6244
_cell_length_c 3.8497
_cell_angle_alpha 90.00
_cell_angle_beta 90.00
_cell_angle_gamma 90.00
loop_
_atom_site_label
_atom_site_fract_x
_atom_site_fract_y
_atom_site_fract_z
_atom_site_occupancy
Al1 0.0000 0.0000 0.0000 1
Co1 0.0000 0.5000 0.5000 1
Co2 0.5000 0.0000 0.5000 1
H1 0.5000 0.5000 0.5000 1
Ru1 0.5000 0.5000 0.0000 1
```

Calculated values
Energy above the most stable polymorph in this dataset = 0.0 meV per atom
Symmetry = P4/mmm, No. 123

(2)
This record from the Alexandria database describes a geometry-optimized AlCo2HRu structure. The functional is PBE.

The structure in CIF format:
```
data_AlCo2HRu
_symmetry_space_group_name_H-M 'P 1'
_symmetry_Int_Tables_number 1
_symmetry_space_group_name_Hall 'P 1'
_cell_length_a 3.5515
_cell_length_b 3.5515
_cell_length_c 3.9858
_cell_angle_alpha 90.00
_cell_angle_beta 90.00
_cell_angle_gamma 90.00
loop_
_atom_site_label
_atom_site_fract_x
_atom_site_fract_y
_atom_site_fract_z
_atom_site_occupancy
Al1 0.0000 0.0000 0.0000 1
Co1 0.0000 0.5000 0.5000 1
Co2 0.5000 0.0000 0.5000 1
H1 0.0000 0.0000 0.5000 1
Ru1 0.5000 0.5000 0.0000 1
```

Calculated values
Energy above the most stable polymorph in this dataset = 93.4 meV per atom
Symmetry = P4/mmm, No. 123

(3)
This record from the Alexandria database describes a geometry-optimized Al2CoHRu structure. The functional is PBE.

The structure in CIF format:
```
data_Al2CoHRu
_symmetry_space_group_name_H-M 'P 1'
_symmetry_Int_Tables_number 1
_symmetry_space_group_name_Hall 'P 1'
_cell_length_a 4.1389
_cell_length_b 4.1389
_cell_length_c 3.1108
_cell_angle_alpha 90.00
_cell_angle_beta 90.00
_cell_angle_gamma 90.00
loop_
_atom_site_label
_atom_site_fract_x
_atom_site_fract_y
_atom_site_fract_z
_atom_site_occupancy
Al1 0.0000 0.5000 0.0000 1
Al2 0.5000 0.0000 0.0000 1
Co1 0.0000 0.0000 0.5000 1
H1 0.0000 0.0000 0.0000 1
Ru1 0.5000 0.5000 0.5000 1
```

Calculated values
Symmetry = P4/mmm, No. 123

| no. | V (Å³/cell) | uncorrected energy (eV per atom) | calculated density (g/cm³) |
| --- | --- | --- | --- |
| 1 | 51 | -6.27 | 8.1 |
| 2 | 50 | -6.17 | 8.2 |
| 3 | 53 | -5.91 | 6.7 |